# 1
# InCoOs2

A relaxed structure of InCoOs2 (PBE, the Alexandria database).

The structure in CIF format:
```
data_InCoOs2
_chemical_formula_sum 'In2 Co2 Os4'
_symmetry_space_group_name_H-M 'C m m m'
_symmetry_Int_Tables_number 65
_symmetry_space_group_name_Hall '-C 2 2'
_cell_length_a 2.861
_cell_length_b 4.768
_cell_length_c 9.047
_cell_angle_alpha 90.00
_cell_angle_beta 90.00
_cell_angle_gamma 90.00
loop_
_atom_site_label
_atom_site_type_symbol
_atom_site_fract_x
_atom_site_fract_y
_atom_site_fract_z
In1 In 0.000 0.000 0.000
Co1 Co 0.000 0.000 0.500
Os1 Os 0.000 0.500 0.271
```

***

# 2
# InCoOs2

A relaxed structure of InCoOs2 (PBE, the Alexandria database).

The structure in CIF format:
```
data_InCoOs2
_chemical_formula_sum 'In1 Co1 Os2'
_symmetry_space_group_name_H-M 'P 4/m m m'
_symmetry_Int_Tables_number 123
_symmetry_space_group_name_Hall '-P 4 2'
_cell_length_a 4.391
_cell_length_b 4.391
_cell_length_c 3.103
_cell_angle_alpha 90.00
_cell_angle_beta 90.00
_cell_angle_gamma 90.00
loop_
_atom_site_label
_atom_site_type_symbol
_atom_site_fract_x
_atom_site_fract_y
_atom_site_fract_z
In1 In 0.000 0.000 0.000
Co1 Co 0.500 0.500 0.000
Os1 Os 0.000 0.500 0.500
```

***

# 3
# InCoOs2

A relaxed structure of InCoOs2 (PBE, the Alexandria database).

The structure in CIF format:
```
data_InCoOs2
_chemical_formula_sum 'In2 Co2 Os4'
_symmetry_space_group_name_H-M 'C 1 2/m 1'
_symmetry_Int_Tables_number 12
_cell_length_a 9.154
_cell_length_b 2.806
_cell_length_c 4.757
_cell_angle_alpha 90.00
_cell_angle_beta 102.49
_cell_angle_gamma 90.00
loop_
_symmetry_equiv_pos_as_xyz
'x,y,z'
'-x,-y,-z'
'-x,y,-z'
'x,-y,z'
'x+1/2,y+1/2,z'
'-x+1/2,-y+1/2,-z'
'-x+1/2,y+1/2,-z'
'x+1/2,-y+1/2,z'
loop_
_atom_site_label
_atom_site_type_symbol
_atom_site_fract_x
_atom_site_fract_y
_atom_site_fract_z
In1 In 0.000 0.000 0.000
Co1 Co 0.000 0.500 0.500
Os1 Os 0.232 0.000 0.718
```

***

Raw total energy in eV/atom, matching the order above: -7.366 -7.373 -7.669
DFT formation energy in meV/atom, matching the order above: 710 703 407